# SrY2OsPt GGA-PBE optimized geometry
data_SrY2OsPt
_chemical_formula_sum 'Sr1 Y2 Os1 Pt1'
_cell_length_a 5.3176
_cell_length_b 5.3176
_cell_length_c 4.8465
_cell_angle_alpha 90.00
_cell_angle_beta 90.00
_cell_angle_gamma 90.00
_symmetry_space_group_name_H-M 'P 4/m m m'
_symmetry_Int_Tables_number 123
_symmetry_space_group_name_Hall '-P 4 2'
loop_
_atom_site_label
_atom_site_fract_x
_atom_site_fract_y
_atom_site_fract_z
_atom_site_occupancy
Sr1 0.0000 0.0000 0.0000 1
Y1 0.0000 0.5000 0.0000 1
Os1 0.5000 0.5000 0.5000 1
Pt1 0.0000 0.0000 0.5000 1
# size of the total moment: 0.00 μB/f.u.
# ΔH_f (0 K): 1.897 eV per atom